# KLiSe (GGA-PBEsol, optimized geometry)
# Volume, Å³ per atom: 25.4
# Theoretical density, g/cm3: 2.7
# SG: P-6m2, No. 187
# Raw formation energy, meV per atom: -1142
data_KLiSe
_space_group_name_H-M_alt 'P 1'
_space_group_IT_number 1
_space_group_name_Hall 'P 1'
_cell_length_a 4.3151
_cell_length_b 4.3151
_cell_length_c 4.7233
_cell_angle_alpha 90.00
_cell_angle_beta 90.00
_cell_angle_gamma 120.00
loop_
_atom_site_label
_atom_site_type_symbol
_atom_site_fract_x
_atom_site_fract_y
_atom_site_fract_z
_atom_site_occupancy
K1 K 0.0000 0.0000 0.0000 1
Li1 Li 0.3333 0.6667 0.5000 1
Se1 Se 0.6667 0.3333 0.5000 1

# CrBr4 (GGA-PBEsol, optimized geometry)
# Volume, Å³ per atom: 25.3
# Theoretical density, g/cm3: 4.9
# SG: I4/m, No. 87
# Raw formation energy, meV per atom: -133
data_CrBr4
_space_group_name_H-M_alt 'P 1'
_space_group_IT_number 1
_space_group_name_Hall 'P 1'
_cell_length_a 6.5412
_cell_length_b 6.5412
_cell_length_c 6.5412
_cell_angle_alpha 93.29
_cell_angle_beta 93.29
_cell_angle_gamma 152.29
loop_
_atom_site_label
_atom_site_type_symbol
_atom_site_fract_x
_atom_site_fract_y
_atom_site_fract_z
_atom_site_occupancy
Cr1 Cr 0.0000 0.0000 0.0000 1
Br1 Br 0.2654 0.4507 0.7161 1
Br2 Br 0.4507 0.7346 0.1853 1
Br3 Br 0.5493 0.2654 0.8147 1
Br4 Br 0.7346 0.5493 0.2839 1